Density functional theory data (PBE) for a geometry-optimized NaCdSbH2 structure.

## Properties
Fermi-level density of states in states/eV/f.u.: 0.3
M_tot in μB per formula unit: 0.000
VASP energy in Ha/atom: -0.0841

a b c (Å): 4.2134 4.2134 6.1834
angles (deg): 90.00 90.00 90.00
With the nearest neighbours (Å) after each atom.
Space group P4/mmm (No. 123)
Symmetry-distinct sites (fractional):
1 Na 0.0000 0.0000 0.0000 (multiplicity 1)  4 Cd 2.98, 2 Sb 3.09
2 Cd 0.5000 0.5000 0.0000 (multiplicity 1)  4 Na 2.98
3 Sb 0.0000 0.0000 0.5000 (multiplicity 1)  4 H 2.11
4 H 0.0000 0.5000 0.5000 (multiplicity 2)  2 Sb 2.11